Record 1
The following is a PBE-GGA calculation of a relaxed Pm2Sm3Tm crystal, from the Alexandria database.

Values from the calculation:
Symmetry: Cmc2_1 (36)

a = 6.288 Å, b = 6.288 Å, c = 11.706 Å
α = 90.00°, β = 90.00°, γ = 59.68°
Fractional coordinates of all 12 atoms:
Pm 0.000 0.334 0.000
Pm 0.000 0.666 0.500
Pm 0.334 0.000 0.500
Pm 0.666 0.000 0.000
Sm 0.002 0.998 0.251
Sm 0.333 0.337 0.750
Sm 0.337 0.333 0.250
Sm 0.663 0.667 0.750
Sm 0.667 0.663 0.250
Sm 0.998 0.002 0.751
Tm 0.332 0.668 0.000
Tm 0.668 0.332 0.500

***

Record 2
The following is a PBE-GGA calculation of a relaxed Pm12Sm5Tm2 crystal, from the Alexandria database.

Values from the calculation:
Symmetry: C2/m (12)

a = 10.229 Å, b = 10.229 Å, c = 10.166 Å
α = 113.26°, β = 113.26°, γ = 42.66°
Fractional coordinates of all 19 atoms:
Pm 0.007 0.007 0.322
Pm 0.091 0.578 0.497
Pm 0.091 0.590 0.146
Pm 0.410 0.909 0.854
Pm 0.422 0.909 0.503
Pm 0.490 0.490 0.780
Pm 0.510 0.510 0.220
Pm 0.578 0.091 0.497
Pm 0.590 0.091 0.146
Pm 0.909 0.410 0.854
Pm 0.909 0.422 0.503
Pm 0.993 0.993 0.678
Sm 0.178 0.178 0.199
Sm 0.323 0.323 0.826
Sm 0.500 0.500 0.500
Sm 0.677 0.677 0.174
Sm 0.822 0.822 0.801
Tm 0.205 0.795 0.000
Tm 0.795 0.205 0.000

***

Record 3
The following is a PBE-GGA calculation of a relaxed Pm2Sm5Tm3 crystal, from the Alexandria database.

Values from the calculation:
Symmetry: C2/c (15)

a = 9.549 Å, b = 9.549 Å, c = 9.558 Å
α = 108.48°, β = 108.48°, γ = 111.04°
Fractional coordinates of all 20 atoms:
Pm 0.020 0.264 0.050
Pm 0.264 0.020 0.550
Pm 0.736 0.980 0.450
Pm 0.980 0.736 0.950
Sm 0.154 0.383 0.782
Sm 0.232 0.768 0.750
Sm 0.270 0.730 0.250
Sm 0.383 0.154 0.282
Sm 0.467 0.533 0.250
Sm 0.533 0.467 0.750
Sm 0.617 0.846 0.718
Sm 0.730 0.270 0.750
Sm 0.768 0.232 0.250
Sm 0.846 0.617 0.218
Tm 0.026 0.974 0.750
Tm 0.223 0.460 0.454
Tm 0.460 0.223 0.954
Tm 0.540 0.777 0.046
Tm 0.777 0.540 0.546
Tm 0.974 0.026 0.250

***

Ordered ΔE_f results: -0.04, 0.17, 0.19; unit eV/atom.
Ordered total DFT energy (no corrections) results: -56.80, -86.28, -89.20; unit eV per cell.